Here is a geometry-optimized TlGaPt2 structure from OQMD via LeMat-Bulk. Energies are from GGA-PBE.

Cell and atoms, written as extended XYZ:
```
4
Lattice="4.013 0.000 0.000 -2.007 3.475 0.000 0.000 0.000 5.708" Properties=species:S:1:pos:R:3 pbc="T T T"
Tl 0.000 0.000 0.000
Ga 0.000 2.317 2.854
Pt 2.007 1.158 1.534
Pt 2.007 1.158 4.173
```

mass density = 13857 kg/m³

***

Here is a geometry-optimized TaGaNiW structure from OQMD via LeMat-Bulk. Energies are from GGA-PBE.

Cell and atoms, written as extended XYZ:
```
4
Lattice="0.000 3.138 3.138 3.138 0.000 3.138 3.138 3.138 0.000" Properties=species:S:1:pos:R:3 pbc="T T T"
Ta 0.000 0.000 0.000
Ga 1.569 1.569 1.569
Ni 3.138 3.138 3.138
W 4.707 4.707 4.707
```

mass density = 13252 kg/m³

***

Here is a geometry-optimized Zr2As5 structure from OQMD via LeMat-Bulk. Energies are from GGA-PBE.

Cell and atoms, written as extended XYZ:
```
14
Lattice="1.866 -20.245 0.000 1.866 20.245 0.000 0.000 0.000 3.737" Properties=species:S:1:pos:R:3 pbc="T T T"
Zr 1.866 16.184 2.803
Zr 1.866 7.913 2.803
Zr 1.866 -7.913 0.934
Zr 1.866 -16.184 0.934
As 1.866 18.471 0.934
As 1.866 13.309 2.803
As 1.866 10.123 0.934
As 1.866 5.014 2.803
As 1.866 1.789 0.934
As 1.866 -1.789 2.803
As 1.866 -5.014 0.934
As 1.866 -10.123 2.803
As 1.866 -13.309 0.934
As 1.866 -18.471 2.803
```

mass density = 6551 kg/m³

***

Here is a geometry-optimized SmGdInCo2 structure from OQMD via LeMat-Bulk. Energies are from GGA-PBE.

Cell and atoms, written as extended XYZ:
```
5
Lattice="3.947 0.000 0.000 0.000 1.924 6.987 0.000 -1.924 6.987" Properties=species:S:1:pos:R:3 pbc="T T T"
Sm 0.000 0.000 0.000
Gd 0.000 0.000 3.828
In 1.974 0.000 8.913
Co 1.974 0.000 5.986
Co 1.974 0.000 11.776
```

mass density = 8452 kg/m³

***

Here is a geometry-optimized YSiNiPd structure from OQMD via LeMat-Bulk. Energies are from GGA-PBE.

Cell and atoms, written as extended XYZ:
```
4
Lattice="0.000 3.204 3.204 3.204 0.000 3.204 3.204 3.204 0.000" Properties=species:S:1:pos:R:3 pbc="T T T"
Y 0.000 0.000 0.000
Si 3.204 3.204 3.204
Ni 4.806 4.806 4.806
Pd 1.602 1.602 1.602
```

mass density = 7121 kg/m³

***

Here is a geometry-optimized Al2BMo structure from OQMD via LeMat-Bulk. Energies are from GGA-PBE.

Cell and atoms, written as extended XYZ:
```
4
Lattice="0.000 2.973 2.973 2.973 0.000 2.973 2.973 2.973 0.000" Properties=species:S:1:pos:R:3 pbc="T T T"
Al 0.000 0.000 0.000
Al 1.487 1.487 1.487
B 2.973 2.973 2.973
Mo 4.460 4.460 4.460
```

mass density = 5076 kg/m³

***

Number 1: E -4.7038 eV per atom, magnetic moment 0.00 μB per atom. Number 2: E -8.0854 eV per atom, magnetic moment 0.00 μB per atom. Number 3: E -6.4099 eV per atom, magnetic moment 0.00 μB per atom. Number 4: E -5.5711 eV per atom, magnetic moment 0.27 μB per atom. Number 5: E -6.1978 eV per atom, magnetic moment 0.00 μB per atom. Number 6: E -5.5867 eV per atom, magnetic moment 0.00 μB per atom.